Density functional theory data (GGA-PBE) for a relaxed structure of Mg2BeIn.

**Distance to the lowest polymorph of the same formula**: 0.0482 eV per atom
**Magnetic moment**: 0.0000 μB/atom
**Calculated formation energy**: 0.221 eV per atom
**D(E_F)**: 2.28 states/eV per cell

Structure (CIF):
```
data_Mg2BeIn
_symmetry_space_group_name_H-M 'I m m m'
_symmetry_Int_Tables_number 71
_symmetry_space_group_name_Hall '-I 2 2'
_cell_length_a 4.224
_cell_length_b 4.257
_cell_length_c 8.450
_cell_angle_alpha 90.00
_cell_angle_beta 90.00
_cell_angle_gamma 90.00
loop_
_atom_site_label
_atom_site_type_symbol
_atom_site_fract_x
_atom_site_fract_y
_atom_site_fract_z
Mg1 Mg 0.000 0.000 0.249
Be1 Be 0.000 0.500 0.500
In1 In 0.000 0.500 0.000
```


Density functional theory data (GGA-PBE) for a relaxed structure of DyTm2Se3.

**Distance to the lowest polymorph of the same formula**: 0.0000 eV per atom
**Raw formation energy**: -10.119 eV/f.u.
**Magnetic moment**: 0.0000 μB/atom
**D(E_F)**: 4.92 states/eV per cell

Structure (CIF):
```
data_DyTm2Se3
_symmetry_space_group_name_H-M 'I m m m'
_symmetry_Int_Tables_number 71
_symmetry_space_group_name_Hall '-I 2 2'
_cell_length_a 4.056
_cell_length_b 5.687
_cell_length_c 12.087
_cell_angle_alpha 90.00
_cell_angle_beta 90.00
_cell_angle_gamma 90.00
loop_
_atom_site_label
_atom_site_type_symbol
_atom_site_fract_x
_atom_site_fract_y
_atom_site_fract_z
Dy1 Dy 0.000 0.000 0.000
Tm1 Tm 0.000 0.000 0.337
Se1 Se 0.000 0.500 0.000
Se2 Se 0.000 0.500 0.329
```


Density functional theory data (GGA-PBE) for a relaxed structure of Zr2TaSb.

**Raw formation energy**: -1.341 eV/f.u.
**Magnetic moment**: 0.0000 μB/atom
**D(E_F)**: 1.92 states/eV per cell

Structure (CIF):
```
data_Zr2TaSb
_symmetry_space_group_name_H-M 'P 4/m m m'
_symmetry_Int_Tables_number 123
_symmetry_space_group_name_Hall '-P 4 2'
_cell_length_a 3.660
_cell_length_b 3.660
_cell_length_c 6.329
_cell_angle_alpha 90.00
_cell_angle_beta 90.00
_cell_angle_gamma 90.00
loop_
_atom_site_label
_atom_site_type_symbol
_atom_site_fract_x
_atom_site_fract_y
_atom_site_fract_z
Zr1 Zr 0.000 0.000 0.248
Ta1 Ta 0.500 0.500 0.000
Sb1 Sb 0.500 0.500 0.500
```


Density functional theory data (GGA-PBE) for a relaxed structure of Li2Tl3Hg8.

**Magnetic moment**: 0.0000 μB/atom
**Calculated formation energy**: -0.107 eV per atom
**D(E_F)**: 2.93 states/eV per cell

Structure (CIF):
```
data_Li2Tl3Hg8
_symmetry_space_group_name_H-M 'P 1 2/m 1'
_symmetry_Int_Tables_number 10
_cell_length_a 8.696
_cell_length_b 3.593
_cell_length_c 10.808
_cell_angle_alpha 90.00
_cell_angle_beta 99.15
_cell_angle_gamma 90.00
loop_
_symmetry_equiv_pos_as_xyz
'x,y,z'
'-x,-y,-z'
'-x,y,-z'
'x,-y,z'
loop_
_atom_site_label
_atom_site_type_symbol
_atom_site_fract_x
_atom_site_fract_y
_atom_site_fract_z
Li1 Li 0.189 0.000 0.080
Tl1 Tl 0.209 0.500 0.602
Tl2 Tl 0.500 0.000 0.500
Hg1 Hg 0.081 0.500 0.877
Hg2 Hg 0.103 0.000 0.345
Hg3 Hg 0.373 0.500 0.246
Hg4 Hg 0.391 0.000 0.872
```


Density functional theory data (GGA-PBE) for a relaxed structure of ZnCu2Au7.

**Magnetic moment**: 0.0000 μB/atom
**Calculated formation energy**: 0.183 eV per atom
**D(E_F)**: 6.28 states/eV per cell

Structure (CIF):
```
data_ZnCu2Au7
_symmetry_space_group_name_H-M 'C m m m'
_symmetry_Int_Tables_number 65
_symmetry_space_group_name_Hall '-C 2 2'
_cell_length_a 7.527
_cell_length_b 12.632
_cell_length_c 4.473
_cell_angle_alpha 90.00
_cell_angle_beta 90.00
_cell_angle_gamma 90.00
loop_
_atom_site_label
_atom_site_type_symbol
_atom_site_fract_x
_atom_site_fract_y
_atom_site_fract_z
Zn1 Zn 0.000 0.000 0.000
Cu1 Cu 0.000 0.297 0.500
Au1 Au 0.000 0.203 0.000
Au2 Au 0.000 0.500 0.500
Au3 Au 0.188 0.113 0.500
```


Density functional theory data (GGA-PBE) for a relaxed structure of Sc2FeW.

**Distance to the lowest polymorph of the same formula**: 0.6079 eV per atom
**Magnetic moment**: 0.0000 μB/atom
**Calculated formation energy**: 0.639 eV per atom
**D(E_F)**: 15.62 states/eV per cell

Structure (CIF):
```
data_Sc2FeW
_symmetry_space_group_name_H-M 'R -3 m'
_symmetry_Int_Tables_number 166
_symmetry_space_group_name_Hall '-R 3 2"'
_cell_length_a 2.9423
_cell_length_b 2.9423
_cell_length_c 27.9687
_cell_angle_alpha 90.00
_cell_angle_beta 90.00
_cell_angle_gamma 120.00
loop_
_atom_site_label
_atom_site_type_symbol
_atom_site_fract_x
_atom_site_fract_y
_atom_site_fract_z
Sc1 Sc 0.0000 0.0000 0.0805
Fe1 Fe 0.0000 0.0000 0.0000
W1 W 0.0000 0.0000 0.5000
```


Density functional theory data (GGA-PBE) for a relaxed structure of Sc3Cu5S12.

**Raw formation energy**: -11.664 eV/f.u.
**Magnetic moment**: 0.0000 μB/atom
**D(E_F)**: 115.13 states/eV per cell

Structure (CIF):
```
data_Sc3Cu5S12
_symmetry_space_group_name_H-M 'I a -3 d'
_symmetry_Int_Tables_number 230
_symmetry_space_group_name_Hall '-I 4bd 2c 3'
_cell_length_a 14.353
_cell_length_b 14.353
_cell_length_c 14.353
_cell_angle_alpha 90.00
_cell_angle_beta 90.00
_cell_angle_gamma 90.00
loop_
_atom_site_label
_atom_site_type_symbol
_atom_site_fract_x
_atom_site_fract_y
_atom_site_fract_z
Sc1 Sc 0.000 0.250 0.125
Cu1 Cu 0.000 0.000 0.000
Cu2 Cu 0.000 0.250 0.375
S1 S 0.021 0.060 0.651
```


Density functional theory data (GGA-PBE) for a relaxed structure of Nd2CdNi2.

**Magnetic moment**: 0.0000 μB/atom
**Calculated formation energy**: -0.359 eV per atom
**D(E_F)**: 6.46 states/eV per cell

Structure (CIF):
```
data_Nd2CdNi2
_symmetry_space_group_name_H-M 'P 4/m b m'
_symmetry_Int_Tables_number 127
_symmetry_space_group_name_Hall '-P 4 2ab'
_cell_length_a 7.484
_cell_length_b 7.484
_cell_length_c 3.882
_cell_angle_alpha 90.00
_cell_angle_beta 90.00
_cell_angle_gamma 90.00
loop_
_atom_site_label
_atom_site_type_symbol
_atom_site_fract_x
_atom_site_fract_y
_atom_site_fract_z
Nd1 Nd 0.177 0.323 0.000
Cd1 Cd 0.000 0.000 0.500
Ni1 Ni 0.116 0.616 0.500
```


Density functional theory data (GGA-PBE) for a relaxed structure of SrMgRu2.

**Magnetic moment**: 0.0003 μB/atom
**Calculated formation energy**: 0.435 eV per atom
**D(E_F)**: 8.92 states/eV per cell

Structure (CIF):
```
data_SrMgRu2
_symmetry_space_group_name_H-M 'I m m 2'
_symmetry_Int_Tables_number 44
_cell_length_a 3.041
_cell_length_b 5.052
_cell_length_c 10.455
_cell_angle_alpha 90.00
_cell_angle_beta 90.00
_cell_angle_gamma 90.00
loop_
_symmetry_equiv_pos_as_xyz
'x,y,z'
'-x,-y,z'
'-x,y,z'
'x,-y,z'
'x+1/2,y+1/2,z+1/2'
'-x+1/2,-y+1/2,z+1/2'
'-x+1/2,y+1/2,z+1/2'
'x+1/2,-y+1/2,z+1/2'
loop_
_atom_site_label
_atom_site_type_symbol
_atom_site_fract_x
_atom_site_fract_y
_atom_site_fract_z
Sr1 Sr 0.000 0.000 0.000
Mg1 Mg 0.000 0.500 0.796
Ru1 Ru 0.000 0.000 0.534
Ru2 Ru 0.000 0.500 0.229
```


Density functional theory data (GGA-PBE) for a relaxed structure of Sr5PbS6.

**Raw formation energy**: -22.599 eV/f.u.
**Magnetic moment**: 0.0000 μB/atom
**D(E_F)**: 0.00 states/eV per cell

Structure (CIF):
```
data_Sr5PbS6
_symmetry_space_group_name_H-M 'C 1 2/m 1'
_symmetry_Int_Tables_number 12
_cell_length_a 7.418
_cell_length_b 12.849
_cell_length_c 7.415
_cell_angle_alpha 90.00
_cell_angle_beta 109.47
_cell_angle_gamma 90.00
loop_
_symmetry_equiv_pos_as_xyz
'x,y,z'
'-x,-y,-z'
'-x,y,-z'
'x,-y,z'
'x+1/2,y+1/2,z'
'-x+1/2,-y+1/2,-z'
'-x+1/2,y+1/2,-z'
'x+1/2,-y+1/2,z'
loop_
_atom_site_label
_atom_site_type_symbol
_atom_site_fract_x
_atom_site_fract_y
_atom_site_fract_z
Sr1 Sr 0.000 0.000 0.000
Sr2 Sr 0.000 0.167 0.500
Sr3 Sr 0.000 0.335 0.000
Pb1 Pb 0.000 0.500 0.500
S1 S 0.248 0.000 0.751
S2 S 0.249 0.167 0.249
```


Density functional theory data (GGA-PBE) for a relaxed structure of AlCu2W.

**Magnetic moment**: 0.0000 μB/atom
**Calculated formation energy**: 0.166 eV per atom
**D(E_F)**: 5.57 states/eV per cell

Structure (CIF):
```
data_AlCu2W
_symmetry_space_group_name_H-M 'C m m m'
_symmetry_Int_Tables_number 65
_symmetry_space_group_name_Hall '-C 2 2'
_cell_length_a 5.281
_cell_length_b 7.981
_cell_length_c 2.640
_cell_angle_alpha 90.00
_cell_angle_beta 90.00
_cell_angle_gamma 90.00
loop_
_atom_site_label
_atom_site_type_symbol
_atom_site_fract_x
_atom_site_fract_y
_atom_site_fract_z
Al1 Al 0.000 0.000 0.000
Cu1 Cu 0.250 0.250 0.500
W1 W 0.000 0.500 0.000
```


Density functional theory data (GGA-PBE) for a relaxed structure of Th7TcSe5.

**Raw formation energy**: -15.159 eV/f.u.
**Magnetic moment**: 0.0000 μB/atom
**D(E_F)**: 40.10 states/eV per cell

Structure (CIF):
```
data_Th7TcSe5
_symmetry_space_group_name_H-M 'C m c m'
_symmetry_Int_Tables_number 63
_symmetry_space_group_name_Hall '-C 2c 2'
_cell_length_a 4.000
_cell_length_b 13.921
_cell_length_c 25.628
_cell_angle_alpha 90.00
_cell_angle_beta 90.00
_cell_angle_gamma 90.00
loop_
_atom_site_label
_atom_site_type_symbol
_atom_site_fract_x
_atom_site_fract_y
_atom_site_fract_z
Th1 Th 0.000 0.036 0.250
Th2 Th 0.000 0.138 0.538
Th3 Th 0.000 0.278 0.181
Th4 Th 0.000 0.418 0.614
Tc1 Tc 0.000 0.322 0.750
Se1 Se 0.000 0.067 0.647
Se2 Se 0.000 0.217 0.070
Se3 Se 0.000 0.500 0.000
```


Which value of magnetic moment does entry 6 give?
0.0000 μB/atom


magnetic moment of number 8 (Nd2CdNi2)?
0.0000 μB/atom